# 1
SrZnAsO (PBE, relaxed); raw total energy = -4.2806 eV/atom; SG = Pmc2_1, No. 26
1.0
3.365 0.000 0.000
0.000 6.152 0.000
0.000 0.000 7.721
Sr Zn As O
2 2 2 2
Direct
0.000 0.133 0.000 Sr
0.000 0.867 0.500 Sr
0.500 0.331 0.361 Zn
0.500 0.669 0.861 Zn
0.500 0.334 0.683 As
0.500 0.666 0.183 As
0.000 0.167 0.307 O
0.000 0.833 0.807 O



# 2
TaNbGa2Pt2 (PBE, relaxed); raw total energy = -7.2821 eV/atom; SG = Pm, No. 6; magnetic moment = 0.00 Bohr magnetons per cell
1.0
8.570 0.000 0.000
0.000 4.285 0.000
-4.285 0.000 12.120
Ta Nb Ga Pt
4 4 8 8
Direct
0.000 0.000 0.000 Ta
0.125 0.500 0.750 Ta
0.250 0.000 0.500 Ta
0.500 0.000 0.000 Ta
0.375 0.500 0.250 Nb
0.625 0.500 0.750 Nb
0.750 0.000 0.500 Nb
0.875 0.500 0.250 Nb
0.000 0.500 0.500 Ga
0.125 0.000 0.250 Ga
0.250 0.500 0.000 Ga
0.375 0.000 0.750 Ga
0.500 0.500 0.500 Ga
0.625 0.000 0.250 Ga
0.750 0.500 0.000 Ga
0.875 0.000 0.750 Ga
0.062 0.500 0.124 Pt
0.188 0.000 0.875 Pt
0.312 0.500 0.625 Pt
0.437 0.000 0.375 Pt
0.562 0.500 0.124 Pt
0.688 0.000 0.876 Pt
0.813 0.500 0.625 Pt
0.939 0.000 0.375 Pt



# 3
DyZnTe (PBE, relaxed); SG = F-43m, No. 216; energy relative to the lowest polymorph listed for this composition = 0 meV per atom; magnetic moment = 0.06 Bohr magnetons per cell
1.0
0.000 3.543 3.543
3.543 0.000 3.543
3.543 3.543 0.000
Dy Zn Te
1 1 1
Direct
0.000 0.000 0.000 Dy
0.250 0.250 0.250 Zn
0.750 0.750 0.750 Te



# 4
Be2TcBi (PBE, relaxed); raw total energy = -4.5913 eV/atom; SG = F-43m, No. 216; magnetic moment = 0.00 Bohr magnetons per cell
1.0
0.000 3.128 3.128
3.128 0.000 3.128
3.128 3.128 0.000
Be Tc Bi
2 1 1
Direct
0.000 0.000 0.000 Be
0.250 0.250 0.250 Be
0.750 0.750 0.750 Tc
0.500 0.500 0.500 Bi